# 1
Density functional theory data (GGA-PBE) for a relaxed structure of NaVTc3.

a b c (Å): 4.5563 4.5563 4.5563
angles (deg): 90.00 90.00 90.00
Space group Pm-3m (No. 221)
Unique sites:
Na: 0.0000 0.0000 0.0000 x1
V: 0.5000 0.5000 0.5000 x1
Tc: 0.0000 0.5000 0.5000 x3

Values from the calculation:
The excess energy over the best structure of this formula in the dataset is 0 meV/atom. As for the energy of formation: 1.2617 eV per atom. Its electronic total energy is -7.045 eV per atom.

# 2
Density functional theory data (GGA-PBE) for a relaxed structure of SmThPa2As4.

a b c (Å): 7.2007 4.1640 7.2120
angles (deg): 90.00 109.51 90.00
Space group P2/m (No. 10)
Unique sites:
Sm: 0.0000 0.0000 0.0000 x1
Th: 0.0000 0.5000 0.5000 x1
Pa: 0.5000 0.0000 0.5000 x1
Pa: 0.5000 0.5000 0.0000 x1
As: 0.2609 0.0000 0.7558 x2
As: 0.2606 0.5000 0.2517 x2

Values from the calculation:
As for the energy of formation: -1.2504 eV per atom. Its electronic total energy is -7.466 eV per atom.

# 3
Density functional theory data (GGA-PBE) for a relaxed structure of Gd2ScIn.

a b c (Å): 7.6053 7.6053 7.6053
angles (deg): 90.00 90.00 90.00
Space group Fm-3m (No. 225)
Unique sites:
Gd: 0.2500 0.2500 0.2500 x8
Sc: 0.0000 0.0000 0.0000 x4
In: 0.0000 0.0000 0.5000 x4

Values from the calculation:
The excess energy over the best structure of this formula in the dataset is 96 meV/atom. As for the energy of formation: -0.1816 eV per atom. Its electronic total energy is -9.490 eV per atom.

# 4
Density functional theory data (GGA-PBE) for a relaxed structure of Li3ScHg4.

a b c (Å): 3.3637 3.3637 13.5163
angles (deg): 90.00 90.00 90.00
Space group P4/mmm (No. 123)
Unique sites:
Li: 0.0000 0.0000 0.0000 x1
Li: 0.0000 0.0000 0.2401 x2
Sc: 0.0000 0.0000 0.5000 x1
Hg: 0.5000 0.5000 0.1198 x2
Hg: 0.5000 0.5000 0.3596 x2

Values from the calculation:
As for the energy of formation: -0.3771 eV per atom. Its electronic total energy is -2.037 eV per atom.

# 5
Density functional theory data (GGA-PBE) for a relaxed structure of K2SnH.

a b c (Å): 7.7355 7.7355 9.2021
angles (deg): 90.00 90.00 90.00
Space group I-42d (No. 122)
Unique sites:
K: 0.1354 0.2500 0.1250 x8
Sn: 0.0000 0.0000 0.5000 x4
H: 0.0000 0.0000 0.0000 x4

Values from the calculation:
The excess energy over the best structure of this formula in the dataset is 54 meV/atom. Its electronic total energy is -2.259 eV per atom.

# 6
Density functional theory data (GGA-PBE) for a relaxed structure of CsHgW3.

a b c (Å): 4.9408 4.9408 4.9408
angles (deg): 90.00 90.00 90.00
Space group Pm-3m (No. 221)
Unique sites:
Cs: 0.0000 0.0000 0.0000 x1
Hg: 0.5000 0.5000 0.5000 x1
W: 0.0000 0.0000 0.5000 x3

Values from the calculation:
As for the energy of formation: 3.9032 eV per atom. Its electronic total energy is -4.100 eV per atom.